Record 1
DFT (GGA-PBE) results for crystalline CaNiSb2 at its relaxed geometry.

abc: 3.4381 3.4381 7.6504
angles: 90.00 90.00 90.00
Element x y z (fractional)
Sb  0.0000  0.0000  0.9507
Sb  0.0000  0.0000  0.5493
Ca  0.5000  0.5000  0.2500
Ni  0.5000  0.5000  0.7500

The value obtained for the electronic total energy is -16.704 eV/cell. As for the magnetic moment: 0.000 μB/atom.

=====

Record 2
DFT (GGA-PBE) results for crystalline LaAlCd at its relaxed geometry.

abc: 5.8297 6.7397 4.3907
angles: 108.99 90.00 80.58
Element x y z (fractional)
La  0.4514  0.9149  0.9617
La  0.0829  0.4531  0.7301
Al  0.6143  0.2316  0.6198
Al  0.9200  0.1364  0.0718
Cd  0.9642  0.8547  0.4314
Cd  0.5701  0.5132  0.2603

The value obtained for the electronic total energy is -21.094 eV/cell. As for the magnetic moment: 0.000 μB/atom.

=====

Record 3
DFT (GGA-PBE) results for crystalline K2HgCl4 at its relaxed geometry.

abc: 8.7933 8.7933 8.8243
angles: 106.30 106.30 115.90
Element x y z (fractional)
K  0.4649  0.4833  0.4846
K  0.9988  0.9804  0.5154
K  0.2304  0.7488  0.0154
K  0.7333  0.2149  0.9846
Hg  0.8546  0.3546  0.5000
Hg  0.6046  0.6046  0.0000
Cl  0.5076  0.7674  0.8307
Cl  0.0174  0.2576  0.3307
Cl  0.9555  0.2842  0.7588
Cl  0.5342  0.7055  0.2588
Cl  0.4467  0.2754  0.7412
Cl  0.9367  0.6768  0.1693
Cl  0.9268  0.6867  0.6693
Cl  0.5254  0.1967  0.2412

The value obtained for the electronic total energy is -39.251 eV/cell. As for the magnetic moment: 0.000 μB/atom.

=====

Record 4
DFT (GGA-PBE) results for crystalline Cu3SnI6 at its relaxed geometry.

abc: 4.1399 16.0931 13.1315
angles: 119.32 90.00 90.00
Element x y z (fractional)
Cu  0.7500  0.5095  0.7830
Cu  0.2500  0.4905  0.2170
Cu  0.7500  0.6732  0.5572
Cu  0.2500  0.3268  0.4428
Cu  0.7500  0.1094  0.0768
Cu  0.2500  0.8906  0.9232
Sn  0.7500  0.0961  0.6835
Sn  0.2500  0.9039  0.3165
I  0.7500  0.4048  0.5629
I  0.2500  0.5952  0.4371
I  0.7500  0.9408  0.0827
I  0.2500  0.0592  0.9173
I  0.7500  0.4265  0.0982
I  0.2500  0.5735  0.9018
I  0.7500  0.7450  0.2323
I  0.2500  0.2550  0.7677
I  0.7500  0.0896  0.4525
I  0.2500  0.9104  0.5475
I  0.7500  0.7874  0.7693
I  0.2500  0.2126  0.2307

The value obtained for the electronic total energy is -54.903 eV/cell. As for the magnetic moment: 0.000 μB/atom.

=====

Record 5
DFT (GGA-PBE) results for crystalline CdCoAg2 at its relaxed geometry.

abc: 3.8963 2.8872 6.6423
angles: 64.08 90.00 90.00
Last column: magnetic moment on the atom in μB.
Element x y z (fractional)
Ag  0.0000  0.0148  0.9850  -0.01
Ag  0.5000  0.2572  0.2435  0.00
Cd  0.0000  0.4829  0.5172  -0.02
Co  0.5000  0.7450  0.7543  1.60

The value obtained for the electronic total energy is -12.661 eV/cell. As for the magnetic moment: 0.375 μB/atom.

=====

Record 6
DFT (GGA-PBE) results for crystalline AlTlI2O at its relaxed geometry.

abc: 6.2063 6.2063 4.1315
angles: 90.00 90.00 90.00
Element x y z (fractional)
I  0.0000  0.5000  0.0000
I  0.5000  0.0000  0.0000
Tl  0.0000  0.0000  0.0000
Al  0.5000  0.5000  0.5000
O  0.0000  0.0000  0.5000

The value obtained for the electronic total energy is -14.135 eV/cell. As for the magnetic moment: 0.000 μB/atom.

=====

Record 7
DFT (GGA-PBE) results for crystalline Cd2NiAg at its relaxed geometry.

abc: 5.3811 5.3811 4.8527
angles: 71.17 71.17 32.26
Element x y z (fractional)
Ag  0.7736  0.7736  0.7716
Cd  0.0082  0.0082  0.9606
Cd  0.2263  0.2263  0.3114
Ni  0.4919  0.4919  0.4564

The value obtained for the electronic total energy is -10.198 eV/cell. As for the magnetic moment: 0.000 μB/atom.

=====

Record 8
DFT (GGA-PBE) results for crystalline TbPrGaPt at its relaxed geometry.

abc: 3.9455 4.3660 6.0176
angles: 90.00 109.14 90.00
Element x y z (fractional)
Tb  0.8629  0.5000  0.7258
Pr  0.1479  0.0000  0.2957
Ga  0.5692  0.5000  0.1385
Pt  0.4200  0.0000  0.8400

The value obtained for the electronic total energy is -21.961 eV/cell. As for the magnetic moment: 0.000 μB/atom.

=====

Q: The highest electronic total energy belongs to which entry?
A: Cd2NiAg

=====

Q: Which value of magnetic moment does entry 3 give?
A: 0.000 μB/atom